one) Here is a relaxed HfHg2Mo crystal from OQMD. Energies are from PBE.

Lattice parameters (Å, degrees): 4.813 4.813 4.813 60.00 60.00 60.00
Fractional positions:
Hg 0.750 0.750 0.750
Hf 0.500 0.500 0.500
Mo 0.250 0.250 0.250
Hg 0.000 0.000 0.000

Computed properties:
Calculated volume   19.71 Å³/atom
SG   F-43m
Density   14.23 g/cm3

two) Here is a relaxed HfHg2Mo crystal from OQMD. Energies are from PBE.

Lattice parameters (Å, degrees): 5.402 5.402 5.692 90.00 90.00 83.79
Fractional positions:
Mo 0.330 0.670 0.250
Hf 0.000 0.000 0.000
Hg 0.147 0.486 0.750
Hf 0.000 0.000 0.500
Hg 0.486 0.147 0.250
Hg 0.853 0.514 0.250
Hg 0.514 0.853 0.750
Mo 0.670 0.330 0.750

Computed properties:
Calculated volume   20.64 Å³/atom
SG   Cmcm
Density   13.59 g/cm3

What should be chosen as the least stable of them? Choose two).

one) Here is a relaxed HfZrHgN crystal from OQMD. Energies are from PBE.

Lattice parameters (Å, degrees): 3.310 3.310 14.483 90.00 90.00 120.00
Fractional positions:
N 0.667 0.333 0.755
Zr 0.000 0.000 0.332
Hg 0.333 0.667 0.500
Hf 0.333 0.667 0.834
Hg 0.000 0.000 0.000
Zr 0.000 0.000 0.668
Hf 0.333 0.667 0.166
N 0.667 0.333 0.245

Computed properties:
Calculated volume   17.17 Å³/atom
SG   P-6m2
Density   11.71 g/cm3

two) Here is a relaxed HfZrHgN crystal from OQMD. Energies are from PBE.

Lattice parameters (Å, degrees): 3.310 3.310 14.481 90.00 90.00 120.00
Fractional positions:
Hf 0.333 0.667 0.918
Hg 0.667 0.333 0.753
Hg 0.333 0.667 0.247
Zr 0.333 0.667 0.584
Zr 0.667 0.333 0.416
Hf 0.667 0.333 0.082
N 0.000 0.000 0.500
N 0.000 0.000 0.000

Computed properties:
Calculated volume   17.17 Å³/atom
SG   P-3m1
Density   11.71 g/cm3

What should be chosen as the least stable of them? Choose two).

one) Here is a relaxed NaHfHg3Te4 crystal from OQMD. Energies are from PBE.

Lattice parameters (Å, degrees): 7.725 8.379 11.110 90.00 108.15 90.00
Fractional positions:
Hg 0.686 0.994 0.572
Hg 0.365 0.750 0.616
Hg 0.314 0.006 0.428
Te 0.369 0.750 0.871
Te 0.857 0.011 0.837
Te 0.907 0.750 0.489
Te 0.631 0.250 0.129
Te 0.143 0.511 0.163
Te 0.093 0.250 0.511
Te 0.143 0.989 0.163
Na 0.208 0.250 0.955
Hg 0.314 0.494 0.428
Hg 0.686 0.506 0.572
Hg 0.635 0.250 0.384
Hf 0.997 0.250 0.246
Na 0.792 0.750 0.045
Te 0.857 0.489 0.837
Hf 0.003 0.750 0.754

Computed properties:
Calculated volume   37.96 Å³/atom
SG   P2_1/m
Density   6.38 g/cm3

two) Here is a relaxed NaHfHg3Te4 crystal from OQMD. Energies are from PBE.

Lattice parameters (Å, degrees): 7.282 7.282 7.282 90.00 90.00 90.00
Fractional positions:
Te 0.780 0.220 0.220
Hg 0.000 0.000 0.500
Te 0.780 0.780 0.780
Te 0.220 0.780 0.220
Te 0.220 0.220 0.780
Hg 0.000 0.500 0.000
Hg 0.500 0.000 0.000
Na 0.500 0.500 0.500
Hf 0.000 0.000 0.000

Computed properties:
Calculated volume   42.91 Å³/atom
SG   P-43m
Density   5.65 g/cm3

What should be chosen as the least stable of them? Choose two).